{"formula": "K3WN", "functional": "PBEsol", "state": "relaxed", "lattice": [[6.715, 0.000, 0.000], [0.000, 6.715, 0.000], [0.000, 0.000, 6.715]], "species": ["K", "K", "K", "W", "N"], "frac_coords": [[0.000, 0.000, 0.500], [0.000, 0.500, 0.000], [0.500, 0.000, 0.000], [0.000, 0.000, 0.000], [0.500, 0.500, 0.500]], "total_energy_ev_per_cell": -13.77, "magmom_total_mub_per_atom": 1.61, "n_ef_per_ev_cell": 7.92, "sg": "Pm-3m (221)", "e_form_raw_mev_per_atom": 2394}